A plane-wave DFT calculation with GGA-PBE was carried out for SrTa2Os after structural relaxation.

a b c (Å): 4.774 4.117 4.117
angles (deg): 90.00 90.00 90.00
Fractional coordinates of all 4 atoms:
Os1 0.500 0.500 0.000
Sr1 0.500 0.000 0.500
Ta1 0.000 0.000 0.000
Ta2 0.000 0.500 0.500

Results
Its space-group type is P4/mmm, No. 123. The total energy is -32.3 eV/f.u. Its energy above the most stable polymorph in this dataset is 733 meV per atom. The crystal system is tetragonal.



A plane-wave DFT calculation with GGA-PBE was carried out for SrTaOs2 after structural relaxation.

a b c (Å): 9.179 9.179 9.179
angles (deg): 19.84 19.84 19.84
Fractional coordinates of all 4 atoms:
Sr1 0.250 0.250 0.250
Ta1 0.750 0.750 0.750
Os1 0.487 0.487 0.487
Os2 0.013 0.013 0.013

Results
Its space-group type is R-3m, No. 166. The total energy is -33.6 eV/f.u. The crystal system is trigonal.



A plane-wave DFT calculation with GGA-PBE was carried out for SrTa3Os after structural relaxation.

a b c (Å): 4.719 4.719 4.719
angles (deg): 90.00 90.00 90.00
Fractional coordinates of all 5 atoms:
Ta1 0.000 0.000 0.500
Ta2 0.500 0.000 0.000
Ta3 0.000 0.500 0.000
Os1 0.500 0.500 0.500
Sr1 0.000 0.000 0.000

Results
Its space-group type is Pm-3m, No. 221. The total energy is -32.2 eV/f.u. Its energy above the most stable polymorph in this dataset is 2314 meV per atom. The crystal system is cubic.



A plane-wave DFT calculation with GGA-PBE was carried out for SrTa3Os after structural relaxation.

a b c (Å): 4.984 4.984 4.984
angles (deg): 90.00 90.00 90.00
Fractional coordinates of all 5 atoms:
Ta1 0.000 0.000 0.500
Ta2 0.500 0.000 0.000
Ta3 0.000 0.500 0.000
Sr1 0.500 0.500 0.500
Os1 0.000 0.000 0.000

Results
Its space-group type is Pm-3m, No. 221. The total energy is -43.7 eV/f.u. Its energy above the most stable polymorph in this dataset is 0 meV per atom. The crystal system is cubic.